Below is a geometry-optimized TcPt2O2 structure, with properties calculated at the PBE level.

The magnetic moment is 1.4 μB per formula unit. The value obtained for the raw total energy is -58.09 eV per cell. The calculation puts the density of states at the Fermi level at 9.82 states/eV/cell. The calculation puts the calculated density at 12.3 g/cm3.

The structure belongs to space group P4/mbm (No. 127); the cell edges are 7.2140, 7.2140 and 2.6903 Å and the angles 90.00°, 90.00° and 90.00°. The distinct sites, in fractional coordinates, are Tc at (0.0000, 0.0000, 0.0000), Pt at (0.1258, 0.3742, 0.0000) and O at (0.2290, 0.7290, 0.5000).